Below is a relaxed structure of Ca2MnTlO5, with properties calculated at the PBE+U level.

Calculated values
SG = Cmc2_1, No. 36
energy = -6.175 eV/atom
ρ = 5.41 g cm⁻³
total moment = 8.00 μB/cell

Cell lengths 6.567, 6.567, 12.026 Å; angles 90.00, 90.00, 150.25 degrees
Element x y z (fractional)
Ca (0.068, 0.932, 0.500)
Ca (0.167, 0.833, 0.106)
Ca (0.833, 0.167, 0.606)
Ca (0.932, 0.068, 0.000)
Mn (0.250, 0.750, 0.872)
Mn (0.750, 0.250, 0.372)
Tl (0.448, 0.552, 0.276)
Tl (0.552, 0.448, 0.776)
O (0.097, 0.903, 0.894)
O (0.246, 0.754, 0.507)
O (0.268, 0.732, 0.265)
O (0.398, 0.602, 0.874)
O (0.479, 0.521, 0.614)
O (0.521, 0.479, 0.114)
O (0.602, 0.398, 0.374)
O (0.732, 0.268, 0.765)
O (0.754, 0.246, 0.007)
O (0.903, 0.097, 0.394)